(1)
The following is a PBE calculation of crystalline CdOs2Cl at its relaxed geometry, from the Alexandria database.

Computed properties:
The calculation puts the energy relative to the elements, uncorrected at 930 meV/atom. As for the energy above the most stable polymorph in this dataset: 0.6890 eV per atom. The total magnetization comes out at 0.00 μB per cell.

Unit cell a=2.8137 b=4.8549 c=9.5102 alpha=90.00 beta=90.00 gamma=90.00
Closest atoms and distances in Å follow each position.
Space group Immm (No. 71)
Inequivalent atoms, fractional coordinates:
Cd1 0.0000 0.0000 0.0000 [2 per cell]  4 Cl 2.81, 2 Cd 2.81, 4 Os 2.94
Os1 0.0000 0.5000 0.2291 [4 per cell]  2 Cl 2.59, 6 Os 2.81-2.83
Cl1 0.0000 0.0000 0.5000 [2 per cell]  4 Os 2.59, 4 Cd 2.81, 2 Cl 2.81

(2)
The following is a PBE calculation of crystalline BaCdPtPb2 at its relaxed geometry, from the Alexandria database.

Computed properties:
As for the formation enthalpy at 0 K: 1408 meV/atom. The total magnetization comes out at 0.00 μB per cell.

Unit cell a=6.3008 b=6.3008 c=6.0413 alpha=90.00 beta=90.00 gamma=90.00
Closest atoms and distances in Å follow each position.
Space group P4/mmm (No. 123)
Inequivalent atoms, fractional coordinates:
Ba1 0.0000 0.0000 0.0000 [1 per cell]  2 Cd 3.02, 4 Pb 3.15
Cd1 0.0000 0.0000 0.5000 [1 per cell]  2 Ba 3.02
Pt1 0.5000 0.5000 0.5000 [1 per cell]  8 Pb 4.36, 4 Cd 4.46
Pb1 0.0000 0.5000 0.0000 [2 per cell]  2 Ba 3.15